# NbCoPO2 | Alexandria | PBE with a Hubbard U | optimized geometry
data_NbCoPO2
_space_group_name_H-M_alt 'P 1'
_space_group_IT_number 1
_space_group_name_Hall 'P 1'
_cell_length_a 3.8709
_cell_length_b 3.8709
_cell_length_c 5.3705
_cell_angle_alpha 90.00
_cell_angle_beta 90.00
_cell_angle_gamma 90.00
loop_
_atom_site_label
_atom_site_fract_x
_atom_site_fract_y
_atom_site_fract_z
P1 0.0000 0.0000 0.5000
Nb1 0.0000 0.0000 0.0000
Co1 0.5000 0.5000 0.5000
O1 0.0000 0.5000 0.0000
O2 0.5000 0.0000 0.0000
# E: -0.260 Ha/atom
# volume: 16.1 Å³/atom
# excess energy over the best structure of this formula in the dataset: 0.0 meV per atom